# ZrB4Pb GGA-PBE relaxed
# ρ: 7.9 Mg/m³
# energy relative to the lowest polymorph listed for this composition: 0.000 eV/atom
data_ZrB4Pb
_cell_length_a 3.1966
_cell_length_b 3.1966
_cell_length_c 8.1409
_cell_angle_alpha 90.00
_cell_angle_beta 90.00
_cell_angle_gamma 120.00
_space_group_name_H-M_alt 'P 6/m m m'
_space_group_IT_number 191
_space_group_name_Hall '-P 6 2'
loop_
_atom_site_label
_atom_site_fract_x
_atom_site_fract_y
_atom_site_fract_z
Zr1 0.0000 0.0000 0.0000
B1 0.3333 0.6667 0.2127
Pb1 0.0000 0.0000 0.5000



# Zr4B3Pb GGA-PBE relaxed
# ρ: 7.2 Mg/m³
data_Zr4B3Pb
_cell_length_a 3.4761
_cell_length_b 3.4761
_cell_length_c 26.7075
_cell_angle_alpha 90.00
_cell_angle_beta 90.00
_cell_angle_gamma 120.00
_space_group_name_H-M_alt 'P 63/m m c'
_space_group_IT_number 194
_space_group_name_Hall '-P 6c 2c'
loop_
_atom_site_label
_atom_site_fract_x
_atom_site_fract_y
_atom_site_fract_z
Zr1 0.0000 0.0000 0.1544
Zr2 0.3333 0.6667 0.0547
B1 0.0000 0.0000 0.0000
B2 0.3333 0.6667 0.6084
Pb1 0.3333 0.6667 0.2500



# BPd5 GGA-PBE relaxed
# ρ: 10.6 Mg/m³
# energy relative to the lowest polymorph listed for this composition: 0.000 eV/atom
data_BPd5
_cell_length_a 6.400
_cell_length_b 8.227
_cell_length_c 9.077
_cell_angle_alpha 90.00
_cell_angle_beta 134.51
_cell_angle_gamma 90.00
_space_group_name_H-M_alt 'P 1 21/c 1'
_space_group_IT_number 14
loop_
_space_group_symop_operation_xyz
'x,y,z'
'-x,-y,-z'
'-x,y+1/2,-z+1/2'
'x,-y+1/2,z+1/2'
loop_
_atom_site_label
_atom_site_fract_x
_atom_site_fract_y
_atom_site_fract_z
B1 0.214 0.133 0.158
Pd1 0.002 0.626 0.246
Pd2 0.201 0.117 0.650
Pd3 0.204 0.627 0.652
Pd4 0.388 0.625 0.041
Pd5 0.407 0.126 0.048



# BPd6 GGA-PBE relaxed
# ρ: 10.7 Mg/m³
data_BPd6
_cell_length_a 5.762
_cell_length_b 8.113
_cell_length_c 17.236
_cell_angle_alpha 90.00
_cell_angle_beta 90.00
_cell_angle_gamma 90.00
_space_group_name_H-M_alt 'F d d d'
_space_group_IT_number 70
loop_
_space_group_symop_operation_xyz
'x,y,z'
'-x,-y,-z'
'-x+1/4,-y+1/4,z'
'x+1/4,y+1/4,-z'
'x,-y+1/4,-z+1/4'
'-x,y+1/4,z+1/4'
'-x+1/4,y,-z+1/4'
'x+1/4,-y,z+1/4'
'x,y+1/2,z+1/2'
'-x,-y+1/2,-z+1/2'
'-x+1/4,-y+3/4,z+1/2'
'x+1/4,y+3/4,-z+1/2'
'x,-y+3/4,-z+3/4'
'-x,y+3/4,z+3/4'
'-x+1/4,y+1/2,-z+3/4'
'x+1/4,-y+1/2,z+3/4'
'x+1/2,y,z+1/2'
'-x+1/2,-y,-z+1/2'
'-x+3/4,-y+1/4,z+1/2'
'x+3/4,y+1/4,-z+1/2'
'x+1/2,-y+1/4,-z+3/4'
'-x+1/2,y+1/4,z+3/4'
'-x+3/4,y,-z+3/4'
'x+3/4,-y,z+3/4'
'x+1/2,y+1/2,z'
'-x+1/2,-y+1/2,-z'
'-x+3/4,-y+3/4,z'
'x+3/4,y+3/4,-z'
'x+1/2,-y+3/4,-z+1/4'
'-x+1/2,y+3/4,z+1/4'
'-x+3/4,y+1/2,-z+1/4'
'x+3/4,-y+1/2,z+1/4'
loop_
_atom_site_label
_atom_site_fract_x
_atom_site_fract_y
_atom_site_fract_z
B1 0.125 0.125 0.125
Pd1 0.119 0.375 0.790
Pd2 0.125 0.370 0.625



# B4Pd GGA-PBE relaxed
# ρ: 5.9 Mg/m³
data_B4Pd
_cell_length_a 2.8063
_cell_length_b 2.8063
_cell_length_c 18.4011
_cell_angle_alpha 90.00
_cell_angle_beta 90.00
_cell_angle_gamma 120.00
_space_group_name_H-M_alt 'R -3 m'
_space_group_IT_number 166
_space_group_name_Hall '-R 3 2"'
loop_
_atom_site_label
_atom_site_fract_x
_atom_site_fract_y
_atom_site_fract_z
B1 0.0000 0.0000 0.0727
B2 0.0000 0.0000 0.3113
Pd1 0.0000 0.0000 0.5000



# BPd5 GGA-PBE relaxed
# ρ: 8.8 Mg/m³
# energy relative to the lowest polymorph listed for this composition: 1.102 eV/atom
data_BPd5
_cell_length_a 5.0528
_cell_length_b 5.0528
_cell_length_c 4.6226
_cell_angle_alpha 90.00
_cell_angle_beta 90.00
_cell_angle_gamma 120.00
_space_group_name_H-M_alt 'P 6/m m m'
_space_group_IT_number 191
_space_group_name_Hall '-P 6 2'
loop_
_atom_site_label
_atom_site_fract_x
_atom_site_fract_y
_atom_site_fract_z
B1 0.0000 0.0000 0.0000
Pd1 0.0000 0.5000 0.5000
Pd2 0.3333 0.6667 0.0000



# B3Pd4 GGA-PBE relaxed
# ρ: 9.5 Mg/m³
data_B3Pd4
_cell_length_a 6.860
_cell_length_b 5.486
_cell_length_c 8.665
_cell_angle_alpha 90.00
_cell_angle_beta 100.84
_cell_angle_gamma 90.00
_space_group_name_H-M_alt 'C 1 2/c 1'
_space_group_IT_number 15
loop_
_space_group_symop_operation_xyz
'x,y,z'
'-x,-y,-z'
'-x,y,-z+1/2'
'x,-y,z+1/2'
'x+1/2,y+1/2,z'
'-x+1/2,-y+1/2,-z'
'-x+1/2,y+1/2,-z+1/2'
'x+1/2,-y+1/2,z+1/2'
loop_
_atom_site_label
_atom_site_fract_x
_atom_site_fract_y
_atom_site_fract_z
B1 0.000 0.107 0.250
B2 0.229 0.081 0.438
Pd1 0.044 0.250 0.998
Pd2 0.217 0.433 0.291



# PmB4Pd GGA-PBE relaxed
# ρ: 7.2 Mg/m³
# energy relative to the lowest polymorph listed for this composition: 0.000 eV/atom
data_PmB4Pd
_cell_length_a 3.161
_cell_length_b 5.358
_cell_length_c 8.052
_cell_angle_alpha 90.00
_cell_angle_beta 90.00
_cell_angle_gamma 90.00
_space_group_name_H-M_alt 'I m m m'
_space_group_IT_number 71
_space_group_name_Hall '-I 2 2'
loop_
_atom_site_label
_atom_site_fract_x
_atom_site_fract_y
_atom_site_fract_z
Pm1 0.000 0.000 0.000
B1 0.000 0.326 0.255
Pd1 0.000 0.000 0.500



Summary of electronic total energy in eV per atom
-6.619, -7.695, -5.650, -5.591, -5.626, -4.548, -5.867, -6.216
(order as listed above)